Below is an optimized crystal structure of Zr6In3Sn, with properties calculated at the PBE-GGA level.

- density of states at the Fermi level (states/eV/f.u.) = 9.95
- size of the total moment (μB per atom) = 0.000
- raw total energy (eV/cell) = -128.820
- DFT formation energy (eV/atom) = -0.090
- crystal system = monoclinic

Unit cell a=7.7561 b=7.3684 c=10.9649 alpha=90.00 beta=130.90 gamma=90.00
Last column: nearest neighbours and their distance in Å.
Space group P2_1/c (No. 14)
One atom of each set of equivalent atoms:
1 Zr 0.0480 0.1485 0.3094  4 Zr 2.95-3.29, 2 In 3.08-3.29
2 Zr 0.2692 0.1768 0.7002  1 Sn 2.83, 2 Zr 2.95-2.98, 4 In 2.97-3.06
3 Zr 0.4107 0.6310 0.8604  1 Sn 2.97, 5 Zr 2.98-3.29, 4 In 3.07-3.20
4 In 0.0000 0.0000 0.0000  2 In 2.93, 4 Zr 2.97-3.20
5 In 0.2491 0.6683 0.0507  1 In 2.93, 7 Zr 2.97-3.12
6 Sn 0.5000 0.0000 0.0000  4 Zr 2.83-2.97

---

Below is an optimized crystal structure of Zr12InSn6, with properties calculated at the PBE-GGA level.

- density of states at the Fermi level (states/eV/f.u.) = 20.27
- size of the total moment (μB per atom) = 0.000
- raw total energy (eV/cell) = -409.086
- DFT formation energy (eV/atom) = -0.370
- crystal system = trigonal

Unit cell a=13.7800 b=13.7800 c=7.8578 alpha=90.00 beta=90.00 gamma=120.00
Last column: nearest neighbours and their distance in Å.
Space group R-3 (No. 148, hexagonal axes)
One atom of each set of equivalent atoms:
1 Zr 0.0066 0.1353 0.1666  4 Sn 2.98-3.26, 6 Zr 3.12-3.19, 1 In 3.19
2 Zr 0.0623 0.5712 0.1704  5 Sn 3.01-3.34, 5 Zr 3.12-3.28, 1 In 3.28
3 In 0.0000 0.0000 0.5000  12 Zr 3.19-3.28
4 Sn 0.0255 0.2681 0.8391  9 Zr 2.98-3.34, 2 Sn 3.26